Below is a relaxed structure of NaLiZrWO6, with properties calculated at the PBE+U level.

Calculated values
The calculation puts the electronic total energy at -72.3 eV/cell. Its total magnetization is 0.0 μB per cell.

Cell lengths 5.7040, 5.7040, 5.7040 Å; angles 60.00, 60.00, 60.00 degrees
Sites, in units of the cell vectors:
Na  0.0000  0.0000  0.0000
Li  0.5000  0.5000  0.5000
Zr  0.7500  0.7500  0.7500
W  0.2500  0.2500  0.2500
O  0.0094  0.0094  0.4906
O  0.0094  0.4906  0.0094
O  0.0094  0.4906  0.4906
O  0.4906  0.0094  0.0094
O  0.4906  0.0094  0.4906
O  0.4906  0.4906  0.0094